[1]
# GGA-PBE LaMgSi2Tc, optimized geometry
# - density (Mg/m³) = 4.98
# - raw formation energy (eV/atom) = -0.256
data_LaMgSi2Tc
_cell_length_a 4.657
_cell_length_b 4.657
_cell_length_c 4.877
_cell_angle_alpha 90.00
_cell_angle_beta 90.00
_cell_angle_gamma 90.00
_space_group_name_H-M_alt 'P 1'
_space_group_IT_number 1
loop_
_space_group_symop_operation_xyz
'x,y,z'
loop_
_atom_site_label
_atom_site_type_symbol
_atom_site_fract_x
_atom_site_fract_y
_atom_site_fract_z
La1 La 0.500 0.500 0.500
Si1 Si 0.500 0.000 0.000
Si2 Si 0.000 0.500 0.000
Tc1 Tc 0.000 0.000 0.000
Mg1 Mg 0.000 0.000 0.500



[2]
# GGA-PBE SrCaLa2, optimized geometry
# - density (Mg/m³) = 4.01
# - ΔE to the lowest computed polymorph (eV/f.u.) = 0.48
data_SrCaLa2
_cell_length_a 6.193
_cell_length_b 6.193
_cell_length_c 6.193
_cell_angle_alpha 60.00
_cell_angle_beta 60.00
_cell_angle_gamma 60.00
_space_group_name_H-M_alt 'P 1'
_space_group_IT_number 1
loop_
_space_group_symop_operation_xyz
'x,y,z'
loop_
_atom_site_label
_atom_site_type_symbol
_atom_site_fract_x
_atom_site_fract_y
_atom_site_fract_z
Ca1 Ca 0.000 0.000 0.000
La1 La 0.250 0.250 0.250
La2 La 0.750 0.750 0.750
Sr1 Sr 0.500 0.500 0.500



[3]
# GGA-PBE YBe2Pt2, optimized geometry
# - density (Mg/m³) = 10.46
# - ΔE to the lowest computed polymorph (eV/f.u.) = 0.33
data_YBe2Pt2
_cell_length_a 3.922
_cell_length_b 3.922
_cell_length_c 5.832
_cell_angle_alpha 70.35
_cell_angle_beta 70.35
_cell_angle_gamma 90.00
_space_group_name_H-M_alt 'P 1'
_space_group_IT_number 1
loop_
_space_group_symop_operation_xyz
'x,y,z'
loop_
_atom_site_label
_atom_site_type_symbol
_atom_site_fract_x
_atom_site_fract_y
_atom_site_fract_z
Pt1 Pt 0.633 0.633 0.734
Pt2 Pt 0.367 0.367 0.266
Be1 Be 0.250 0.750 0.500
Be2 Be 0.750 0.250 0.500
Y1 Y 0.000 0.000 0.000



[4]
# GGA-PBE KFeRe2, optimized geometry
# - density (Mg/m³) = 11.28
# - ΔE to the lowest computed polymorph (eV/f.u.) = 4.43
data_KFeRe2
_cell_length_a 5.177
_cell_length_b 5.177
_cell_length_c 2.567
_cell_angle_alpha 90.00
_cell_angle_beta 90.00
_cell_angle_gamma 90.00
_space_group_name_H-M_alt 'P 1'
_space_group_IT_number 1
loop_
_space_group_symop_operation_xyz
'x,y,z'
loop_
_atom_site_label
_atom_site_type_symbol
_atom_site_fract_x
_atom_site_fract_y
_atom_site_fract_z
Re1 Re 0.000 0.000 0.000
Re2 Re 0.500 0.500 0.000
Fe1 Fe 0.500 0.000 0.500
K1 K 0.000 0.500 0.500



[5]
# GGA-PBE NdY2Bi, optimized geometry
# - density (Mg/m³) = 7.38
# - ΔE to the lowest computed polymorph (eV/f.u.) = 0.25
data_NdY2Bi
_cell_length_a 4.850
_cell_length_b 4.962
_cell_length_c 4.962
_cell_angle_alpha 90.00
_cell_angle_beta 90.00
_cell_angle_gamma 90.00
_space_group_name_H-M_alt 'P 1'
_space_group_IT_number 1
loop_
_space_group_symop_operation_xyz
'x,y,z'
loop_
_atom_site_label
_atom_site_type_symbol
_atom_site_fract_x
_atom_site_fract_y
_atom_site_fract_z
Bi1 Bi 0.500 0.000 0.000
Nd1 Nd 0.500 0.500 0.500
Y1 Y 0.000 0.000 0.500
Y2 Y 0.000 0.500 0.000



[6]
# GGA-PBE SrBeCu2, optimized geometry
# - density (Mg/m³) = 4.87
# - E (eV/atom) = -3.431
data_SrBeCu2
_cell_length_a 4.060
_cell_length_b 4.060
_cell_length_c 5.822
_cell_angle_alpha 69.84
_cell_angle_beta 69.84
_cell_angle_gamma 60.05
_space_group_name_H-M_alt 'P 1'
_space_group_IT_number 1
loop_
_space_group_symop_operation_xyz
'x,y,z'
loop_
_atom_site_label
_atom_site_type_symbol
_atom_site_fract_x
_atom_site_fract_y
_atom_site_fract_z
Be1 Be 0.250 0.250 0.250
Sr1 Sr 0.750 0.750 0.750
Cu1 Cu 0.939 0.939 0.184
Cu2 Cu 0.561 0.561 0.316



[7]
# GGA-PBE Ac2PrNd8, optimized geometry
# - density (Mg/m³) = 7.02
# - ΔE to the lowest computed polymorph (eV/f.u.) = 0.00
data_Ac2PrNd8
_cell_length_a 9.098
_cell_length_b 10.615
_cell_length_c 10.615
_cell_angle_alpha 39.33
_cell_angle_beta 43.43
_cell_angle_gamma 43.43
_space_group_name_H-M_alt 'P 1'
_space_group_IT_number 1
loop_
_space_group_symop_operation_xyz
'x,y,z'
loop_
_atom_site_label
_atom_site_type_symbol
_atom_site_fract_x
_atom_site_fract_y
_atom_site_fract_z
Nd1 Nd 0.780 0.668 0.216
Nd2 Nd 0.780 0.216 0.668
Nd3 Nd 0.272 0.370 0.370
Nd4 Nd 0.767 0.282 0.282
Nd5 Nd 0.220 0.332 0.784
Nd6 Nd 0.728 0.630 0.630
Nd7 Nd 0.220 0.784 0.332
Nd8 Nd 0.233 0.718 0.718
Ac1 Ac 0.344 0.170 0.170
Ac2 Ac 0.656 0.830 0.830
Pr1 Pr 0.000 0.000 0.000



[8]
# GGA-PBE Ni8OsRh4, optimized geometry
# - density (Mg/m³) = 10.06
# - E (eV/atom) = -6.292
data_Ni8OsRh4
_cell_length_a 4.961
_cell_length_b 4.961
_cell_length_c 7.649
_cell_angle_alpha 90.00
_cell_angle_beta 90.00
_cell_angle_gamma 110.08
_space_group_name_H-M_alt 'P 1'
_space_group_IT_number 1
loop_
_space_group_symop_operation_xyz
'x,y,z'
loop_
_atom_site_label
_atom_site_type_symbol
_atom_site_fract_x
_atom_site_fract_y
_atom_site_fract_z
Rh1 Rh 0.000 0.000 0.000
Rh2 Rh 0.000 0.500 0.500
Rh3 Rh 0.500 0.500 0.000
Rh4 Rh 0.500 0.000 0.500
Ni1 Ni 0.788 0.788 0.274
Ni2 Ni 0.738 0.262 0.792
Ni3 Ni 0.262 0.738 0.792
Ni4 Ni 0.738 0.262 0.208
Ni5 Ni 0.212 0.212 0.726
Ni6 Ni 0.213 0.213 0.274
Ni7 Ni 0.262 0.738 0.208
Ni8 Ni 0.787 0.787 0.726
Os1 Os 0.500 0.500 0.500